Entry 1:
## LiMnPt (GGA-PBE)

Data for a geometry-optimized LiMnPt structure.

## Properties
Energy of formation from the pure elements, eV/atom: -0.16
Size of the total moment, μB/f.u.: 0.0
Excess energy over the best structure of this formula in the dataset, meV per atom: 135

Cell lengths 14.260, 2.667, 4.294 Å; angles 90.00, 100.82, 90.00 degrees
Space group C2/m (No. 12)
Asymmetric unit:
Li  0.231  0.000  0.237 x4
Mn  0.063  0.500  0.132 x4
Pt  0.107  0.000  0.661 x4

Entry 2:
## LiMnPt (GGA-PBE)

Data for a geometry-optimized LiMnPt structure.

## Properties
Energy of formation from the pure elements, eV/atom: -0.17
Size of the total moment, μB/f.u.: 0.0
Excess energy over the best structure of this formula in the dataset, meV per atom: 132

Cell lengths 2.680, 4.752, 6.607 Å; angles 78.15, 78.32, 73.62 degrees
Space group P-1 (No. 2)
Asymmetric unit:
Li  0.173  0.484  0.170 x2
Mn  0.163  0.035  0.641 x2
Pt  0.500  0.000  0.000 x1
Pt  0.500  0.500  0.500 x1

Entry 3:
## Li2MnPt (GGA-PBE)

Data for a geometry-optimized Li2MnPt structure.

## Properties
Energy of formation from the pure elements, eV/atom: -0.09
Size of the total moment, μB/f.u.: 4.3
Excess energy over the best structure of this formula in the dataset, meV per atom: 209

Cell lengths 3.263, 3.263, 5.374 Å; angles 90.00, 90.00, 90.00 degrees
Space group P4/mmm (No. 123)
Asymmetric unit:
Li  0.000  0.000  0.224 x2
Mn  0.500  0.500  0.500 x1
Pt  0.500  0.500  0.000 x1

Entry 4:
## Li2MnPt2 (GGA-PBE)

Data for a geometry-optimized Li2MnPt2 structure.

## Properties
Energy of formation from the pure elements, eV/atom: 0.02
Size of the total moment, μB/f.u.: 0.1
Excess energy over the best structure of this formula in the dataset, meV per atom: 366

Cell lengths 7.108, 7.108, 2.696 Å; angles 90.00, 90.00, 90.00 degrees
Space group P4/mbm (No. 127)
Asymmetric unit:
Li  0.118  0.382  0.000 x4
Mn  0.000  0.000  0.500 x2
Pt  0.181  0.681  0.500 x4

Entry 5:
## Li2MnPt (GGA-PBE)

Data for a geometry-optimized Li2MnPt structure.

## Properties
Energy of formation from the pure elements, eV/atom: -0.09
Size of the total moment, μB/f.u.: 3.8
Excess energy over the best structure of this formula in the dataset, meV per atom: 212

Cell lengths 2.7858, 2.7858, 27.5714 Å; angles 90.00, 90.00, 120.00 degrees
Space group R3m (No. 160, hexagonal axes)
Asymmetric unit:
Li  0.0000  0.0000  0.0000 x3
Li  0.0000  0.0000  0.2381 x3
Mn  0.0000  0.0000  0.4895 x3
Pt  0.0000  0.0000  0.7427 x3

Entry 6:
## LiMnPt (GGA-PBE)

Data for a geometry-optimized LiMnPt structure.

## Properties
Energy of formation from the pure elements, eV/atom: 0.28
Size of the total moment, μB/f.u.: 0.5
Excess energy over the best structure of this formula in the dataset, meV per atom: 575

Cell lengths 5.659, 5.659, 5.659 Å; angles 90.00, 90.00, 90.00 degrees
Space group F-43m (No. 216)
Asymmetric unit:
Li  0.000  0.000  0.000 x4
Mn  0.000  0.000  0.500 x4
Pt  0.250  0.250  0.750 x4

Entry 7:
## LiMn4Pt (GGA-PBE)

Data for a geometry-optimized LiMn4Pt structure.

## Properties
Energy of formation from the pure elements, eV/atom: 0.16
Size of the total moment, μB/f.u.: 4.0

Cell lengths 6.651, 6.651, 6.651 Å; angles 90.00, 90.00, 90.00 degrees
Space group F-43m (No. 216)
Asymmetric unit:
Li  0.000  0.000  0.000 x4
Mn  0.126  0.126  0.626 x16
Pt  0.250  0.250  0.250 x4

Entry 8:
## Li2MnSi4Pt3 (GGA-PBE)

Data for a geometry-optimized Li2MnSi4Pt3 structure.

## Properties
ΔE_f (raw), eV/atom: -0.559
Size of the total moment, μB/f.u.: 1.7

Cell lengths 3.934, 3.934, 10.358 Å; angles 90.00, 90.00, 90.00 degrees
Space group P-4m2 (No. 115)
Asymmetric unit:
Li  0.000  0.500  0.234 x2
Mn  0.500  0.500  0.000 x1
Si  0.000  0.000  0.500 x1
Si  0.000  0.500  0.867 x2
Si  0.500  0.500  0.500 x1
Pt  0.000  0.000  0.000 x1
Pt  0.000  0.500  0.636 x2

Entry 9:
## LiMnZnPt2 (GGA-PBE)

Data for a geometry-optimized LiMnZnPt2 structure.

## Properties
Energy of formation from the pure elements, eV/atom: 0.47
Size of the total moment, μB/f.u.: 0.0

Cell lengths 4.567, 4.567, 4.631 Å; angles 90.00, 90.00, 90.00 degrees
Space group P4/mmm (No. 123)
Asymmetric unit:
Li  0.000  0.000  0.000 x1
Mn  0.500  0.500  0.500 x1
Zn  0.500  0.500  0.000 x1
Pt  0.000  0.500  0.500 x2

Entry 10:
## LiPuMnRh (GGA-PBE)

Data for a geometry-optimized LiPuMnRh structure.

## Properties
Energy of formation from the pure elements, eV/atom: -0.12
Size of the total moment, μB/f.u.: 2.5

Cell lengths 6.345, 6.345, 6.345 Å; angles 90.00, 90.00, 90.00 degrees
Space group F-43m (No. 216)
Asymmetric unit:
Li  0.000  0.000  0.000 x4
Pu  0.000  0.000  0.500 x4
Mn  0.250  0.250  0.250 x4
Rh  0.250  0.250  0.750 x4

Entry 11:
## Li2Pu2MnS6 (GGA-PBE)

Data for a geometry-optimized Li2Pu2MnS6 structure.

## Properties
ΔE_f (raw), eV/atom: -1.221
Size of the total moment, μB/f.u.: 4.9

Cell lengths 6.588, 11.446, 6.415 Å; angles 90.00, 107.88, 90.00 degrees
Space group C2/m (No. 12)
Asymmetric unit:
Li  0.000  0.164  0.000 x4
Pu  0.000  0.335  0.500 x4
Mn  0.000  0.000  0.500 x2
S  0.219  0.000  0.270 x4
S  0.236  0.163  0.742 x8

Entry 12:
## Li4Pu3MnS8 (GGA-PBE)

Data for a geometry-optimized Li4Pu3MnS8 structure.

## Properties
ΔE_f (raw), eV/atom: -1.368
Size of the total moment, μB/f.u.: 9.0

Cell lengths 7.7343, 7.7343, 18.3174 Å; angles 90.00, 90.00, 120.00 degrees
Space group R-3m (No. 166, hexagonal axes)
Asymmetric unit:
Li  0.0000  0.0000  0.0000 x3
Li  0.0000  0.5000  0.0000 x9
Pu  0.0000  0.5000  0.5000 x9
Mn  0.0000  0.0000  0.5000 x3
S  0.0000  0.0000  0.2509 x6
S  0.0069  0.5035  0.2487 x18